Compound: Ba3V2CdO8
Source: Alexandria via LeMat-Bulk
Functional: GGA+U
Structure: optimized geometry

The value obtained for the total DFT energy (no corrections) is -6.6284 eV/atom. The density of states at the Fermi level is 0.0 states/eV/cell.

a = 5.8230 Å, b = 5.8230 Å, c = 9.8380 Å
α = 90.00°, β = 90.00°, γ = 120.00°
Closest atoms and distances in Å follow each position.
Fractional positions:
1 O 0.6667 0.3333 0.0174  1 V 1.75
2 O 0.1725 0.3450 0.2234  1 V 1.73
3 O 0.1725 0.8275 0.2234  1 V 1.73
4 Cd 0.0000 0.0000 0.5000  6 O 3.23
5 O 0.6550 0.8275 0.2234  1 V 1.73
6 Ba 0.0000 0.0000 0.0000  6 O 2.80
7 V 0.6667 0.3333 0.8391  4 O 1.73-1.75
8 Ba 0.3333 0.6667 0.7287  1 O 2.50
9 O 0.8275 0.1725 0.7766  1 V 1.73
10 Ba 0.6667 0.3333 0.2713  1 O 2.50
11 O 0.3450 0.1725 0.7766  1 V 1.73
12 V 0.3333 0.6667 0.1609  4 O 1.73-1.75
13 O 0.8275 0.6550 0.7766  1 V 1.73
14 O 0.3333 0.6667 0.9826  1 V 1.75

=====

Compound: BaV2CdO6
Source: Alexandria via LeMat-Bulk
Functional: GGA+U
Structure: optimized geometry

The value obtained for the total DFT energy (no corrections) is -6.6875 eV/atom.

a = 6.5176 Å, b = 7.8335 Å, c = 7.8335 Å
α = 87.07°, β = 73.35°, γ = 73.35°
Closest atoms and distances in Å follow each position.
Fractional positions:
1 V 0.8033 0.6341 0.7809  4 O 1.80-1.87
2 Ba 0.7500 0.1211 0.8789  6 O 2.65-2.80
3 Cd 0.2500 0.2503 0.7497  4 O 2.13-2.31
4 O 0.5508 0.6528 0.7071  2 V 1.86-1.87
5 O 0.0508 0.7071 0.6528  2 V 1.86-1.87
6 O 0.8081 0.0282 0.2150  1 V 1.80
7 O 0.9492 0.2929 0.3472  2 V 1.86-1.87
8 O 0.1919 0.9718 0.7850  1 V 1.80
9 V 0.3033 0.7809 0.6341  4 O 1.80-1.87
10 V 0.1967 0.3659 0.2191  4 O 1.80-1.87
11 O 0.3081 0.2150 0.0282  1 V 1.80
12 O 0.4492 0.3472 0.2929  2 V 1.86-1.87
13 V 0.6967 0.2191 0.3659  4 O 1.80-1.87
14 Cd 0.7500 0.7497 0.2503  4 O 2.13-2.31
15 O 0.4080 0.8207 0.4017  1 V 1.80
16 Ba 0.2500 0.8789 0.1211  6 O 2.65-2.80
17 O 0.6919 0.7850 0.9718  1 V 1.80
18 O 0.0920 0.5983 0.1793  1 V 1.80
19 O 0.9080 0.4017 0.8207  1 V 1.80
20 O 0.5920 0.1793 0.5983  1 V 1.80

=====

Compound: Ba3V2CdO9
Source: Alexandria via LeMat-Bulk
Functional: GGA+U
Structure: optimized geometry

The value obtained for the total DFT energy (no corrections) is -6.6396 eV/atom. The density of states at the Fermi level is 0.0 states/eV/cell.

a = 5.7941 Å, b = 5.7941 Å, c = 7.1970 Å
α = 90.00°, β = 90.00°, γ = 120.00°
Closest atoms and distances in Å follow each position.
Fractional positions:
1 O 0.0000 0.5000 0.0000  2 V 2.08
2 O 0.8195 0.6390 0.6919  1 V 1.82
3 V 0.6667 0.3333 0.8281  3 O 1.82
4 V 0.3333 0.6667 0.1719  3 O 1.82
5 Ba 0.3333 0.6667 0.6831  12 O 2.83-3.10
6 Cd 0.0000 0.0000 0.5000  6 O 2.28
7 O 0.1805 0.8195 0.3081  1 V 1.82
8 O 0.1805 0.3610 0.3081  1 V 1.82
9 O 0.5000 0.0000 0.0000  2 V 2.08
10 Ba 0.0000 0.0000 0.0000  12 O 2.86-2.90
11 Ba 0.6667 0.3333 0.3169  12 O 2.83-3.10
12 O 0.8195 0.1805 0.6919  1 V 1.82
13 O 0.3610 0.1805 0.6919  1 V 1.82
14 O 0.6390 0.8195 0.3081  1 V 1.82
15 O 0.5000 0.5000 0.0000  2 V 2.08

=====

Compound: Ba3CdW2O9
Source: Alexandria via LeMat-Bulk
Functional: GGA+U
Structure: optimized geometry

The value obtained for the total DFT energy (no corrections) is -6.7021 eV/atom. The density of states at the Fermi level is 0.0 states/eV/cell.

a = 5.9974 Å, b = 5.9974 Å, c = 7.2539 Å
α = 90.00°, β = 90.00°, γ = 120.00°
Closest atoms and distances in Å follow each position.
Fractional positions:
1 W 0.6667 0.3333 0.8355  6 O 1.95-2.10
2 O 0.1755 0.3510 0.3104  1 W 1.95
3 O 0.1755 0.8245 0.3104  1 W 1.95
4 O 0.5000 0.5000 0.0000  2 W 2.10
5 W 0.3333 0.6667 0.1645  6 O 1.95-2.10
6 O 0.6490 0.8245 0.3104  1 W 1.95
7 Cd 0.0000 0.0000 0.5000  6 O 2.28
8 Ba 0.0000 0.0000 0.0000  12 O 2.90-3.00
9 O 0.8245 0.6490 0.6896  1 W 1.95
10 O 0.8245 0.1755 0.6896  1 W 1.95
11 Ba 0.3333 0.6667 0.6636  12 O 2.99-3.04
12 Ba 0.6667 0.3333 0.3364  12 O 2.99-3.04
13 O 0.0000 0.5000 0.0000  2 W 2.10
14 O 0.5000 0.0000 0.0000  2 W 2.10
15 O 0.3510 0.1755 0.6896  1 W 1.95

=====

Compound: BaCdW2O8
Source: Alexandria via LeMat-Bulk
Functional: GGA+U
Structure: optimized geometry

The value obtained for the total DFT energy (no corrections) is -6.7079 eV/atom. The density of states at the Fermi level is 0.0 states/eV/cell.

a = 6.5397 Å, b = 6.5397 Å, c = 6.5397 Å
α = 106.98°, β = 106.98°, γ = 114.59°
Closest atoms and distances in Å follow each position.
Fractional positions:
1 O 0.8423 0.6528 0.1894  1 W 1.83
2 O 0.4634 0.6528 0.8106  1 W 1.83
3 Cd 0.2500 0.7500 0.5000  8 O 2.51-2.77
4 O 0.3472 0.1577 0.8106  1 W 1.83
5 W 0.5000 0.5000 0.0000  4 O 1.83
6 O 0.9121 0.5921 0.6800  1 W 1.81
7 O 0.9121 0.2321 0.3200  1 W 1.81
8 W 0.7500 0.2500 0.5000  4 O 1.81
9 O 0.4079 0.0879 0.3200  1 W 1.81
10 Ba 0.0000 0.0000 0.0000  8 O 2.57-2.86
11 O 0.3472 0.5366 0.1894  1 W 1.83
12 O 0.7679 0.0879 0.6800  1 W 1.81

=====

Compound: Ba2CdW3O12
Source: Alexandria via LeMat-Bulk
Functional: GGA+U
Structure: optimized geometry

The value obtained for the total DFT energy (no corrections) is -6.8992 eV/atom. The density of states at the Fermi level is 0.0 states/eV/cell.

a = 7.3014 Å, b = 7.3014 Å, c = 7.3014 Å
α = 61.58°, β = 61.58°, γ = 61.58°
Closest atoms and distances in Å follow each position.
Fractional positions:
1 W 0.0000 0.0000 0.5000  6 O 1.92-1.95
2 O 0.1111 0.1111 0.6031  1 W 1.92
3 O 0.2903 0.2903 0.9149  2 W 1.95
4 Ba 0.6347 0.6347 0.6347  3 O 2.66
5 O 0.1111 0.6031 0.1111  1 W 1.92
6 W 0.0000 0.5000 0.0000  6 O 1.92-1.95
7 O 0.3969 0.8889 0.8889  1 W 1.92
8 W 0.5000 0.0000 0.0000  6 O 1.92-1.95
9 O 0.0851 0.7097 0.7097  2 W 1.95
10 O 0.6031 0.1111 0.1111  1 W 1.92
11 O 0.9149 0.2903 0.2903  2 W 1.95
12 O 0.8889 0.8889 0.3969  1 W 1.92
13 O 0.7097 0.0851 0.7097  2 W 1.95
14 Ba 0.3653 0.3653 0.3653  3 O 2.66
15 Cd 0.0000 0.0000 0.0000  6 O 2.42
16 O 0.2903 0.9149 0.2903  2 W 1.95
17 O 0.7097 0.7097 0.0851  2 W 1.95
18 O 0.8889 0.3969 0.8889  1 W 1.92